A plane-wave DFT calculation with PBE-GGA was carried out for a relaxed Pm6Ni2CI3 crystal.

Unit cell a=7.009 b=7.009 c=8.167 alpha=98.15 beta=98.15 gamma=120.01
Atoms (fractional coordinates):
1 Ni 0.333 0.667 0.000
2 Ni 0.667 0.333 0.000
3 Pm 0.748 0.748 0.180
4 Pm 0.940 0.628 0.822
5 Pm 0.060 0.372 0.178
6 Pm 0.252 0.252 0.820
7 Pm 0.372 0.060 0.178
8 Pm 0.628 0.940 0.822
9 I 0.168 0.832 0.500
10 I 0.500 0.500 0.500
11 I 0.832 0.168 0.500
12 C 0.000 0.000 0.000

N(E_F) = 0.65 states/eV per atom
uncorrected formation energy = -62 kJ/mol of atoms
calculated density = 6.9 g/cm3
DFT total energy = -5.134 eV per atom
total magnetization = 0.0 μB per formula unit